1.
Material: Nd2Sm2Br4N2Cl
Method: DFT, PBE-GGA
State: optimized geometry

Properties
mass density = 5.863 Mg/m³
space group = C2/m, No. 12

a b c (Å): 9.6136 9.6136 8.1358
angles (deg): 103.74 103.74 22.18
Last column: nearest neighbours and their distance in Å.
Fractional coordinates of all 11 atoms:
Nd1 0.9997 0.9997 0.2027  4 N 2.57-2.58
Nd2 0.0003 0.0003 0.7973  4 N 2.57-2.58
Sm1 0.3394 0.3394 0.9012  1 N 2.25
Sm2 0.6606 0.6606 0.0988  1 N 2.25
Br1 0.1602 0.1602 0.3799  2 Sm 2.94, 1 Nd 3.02
Br2 0.1708 0.1708 0.8160  3 Sm 2.99-3.09, 1 Nd 3.18
Br3 0.8292 0.8292 0.1840  3 Sm 2.99-3.09, 1 Nd 3.18
Br4 0.8398 0.8398 0.6201  2 Sm 2.94, 1 Nd 3.02
N1 0.4623 0.4623 0.9781  1 N 1.38
N2 0.5377 0.5377 0.0219  1 N 1.38
Cl1 0.5000 0.5000 0.5000  4 Nd 3.04


2.
Material: Nd2Sm2Br2NCl3
Method: DFT, PBE-GGA
State: optimized geometry

Properties
mass density = 5.412 Mg/m³
space group = C2/m, No. 12

a b c (Å): 9.1385 9.1385 8.0663
angles (deg): 103.11 103.11 24.02
Last column: nearest neighbours and their distance in Å.
Fractional coordinates of all 10 atoms:
Nd1 0.9997 0.9997 0.2109  2 N 2.55, 1 Cl 2.83
Nd2 0.0003 0.0003 0.7891  2 N 2.55, 1 Cl 2.83
Sm1 0.3614 0.3614 0.9244  1 N 2.41
Sm2 0.6386 0.6386 0.0756  1 N 2.41
Br1 0.1728 0.1728 0.8213  3 Sm 2.96-3.28, 1 Nd 3.03
Br2 0.8272 0.8272 0.1787  3 Sm 2.96-3.28, 1 Nd 3.03
N1 0.5000 0.5000 0.0000  2 Sm 2.41, 4 Nd 2.55
Cl1 0.1613 0.1613 0.3351  2 Sm 2.79, 1 Nd 2.83
Cl2 0.5000 0.5000 0.5000  4 Nd 3.01
Cl3 0.8387 0.8387 0.6649  2 Sm 2.79, 1 Nd 2.83


3.
Material: Nd2Sm2Br2N2Cl3
Method: DFT, PBE-GGA
State: optimized geometry

Properties
mass density = 5.512 Mg/m³
space group = C2/m, No. 12

a b c (Å): 9.5593 9.5593 8.0350
angles (deg): 104.73 104.73 22.04
Last column: nearest neighbours and their distance in Å.
Fractional coordinates of all 11 atoms:
Nd1 0.0009 0.0009 0.2054  4 N 2.55-2.56
Nd2 0.9991 0.9991 0.7946  4 N 2.55-2.56
Sm1 0.3374 0.3374 0.8944  1 N 2.25
Sm2 0.6626 0.6626 0.1056  1 N 2.25
Br1 0.1690 0.1690 0.8132  3 Sm 3.00-3.06, 1 Nd 3.15
Br2 0.8310 0.8310 0.1868  3 Sm 3.00-3.06, 1 Nd 3.15
N1 0.4617 0.4617 0.9769  1 N 1.39
N2 0.5383 0.5383 0.0231  1 N 1.39
Cl1 0.1567 0.1567 0.3707  2 Sm 2.83, 1 Nd 2.88
Cl2 0.5000 0.5000 0.5000  4 Nd 2.99
Cl3 0.8433 0.8433 0.6293  2 Sm 2.83, 1 Nd 2.88


4.
Material: Nd2Y2Br3NCl2
Method: DFT, PBE-GGA
State: optimized geometry

Properties
mass density = 5.051 Mg/m³
space group = C2/m, No. 12

a b c (Å): 9.0458 9.0458 8.0443
angles (deg): 103.93 103.93 24.05
Last column: nearest neighbours and their distance in Å.
Fractional coordinates of all 10 atoms:
Nd1 0.1428 0.1428 0.0818  1 N 2.45
Nd2 0.8572 0.8572 0.9182  1 N 2.45
Y1 0.4996 0.4996 0.2001  2 N 2.48, 1 Cl 2.73
Y2 0.5004 0.5004 0.7999  2 N 2.48, 1 Cl 2.73
Br1 0.0000 0.0000 0.5000  4 Y 3.06
Br2 0.3322 0.3322 0.1893  1 Y 2.94, 3 Nd 3.00-3.25
Br3 0.6678 0.6678 0.8107  1 Y 2.94, 3 Nd 3.00-3.25
N1 0.0000 0.0000 0.0000  2 Nd 2.45, 4 Y 2.48
Cl1 0.3442 0.3442 0.6513  1 Y 2.73, 2 Nd 2.82
Cl2 0.6558 0.6558 0.3487  1 Y 2.73, 2 Nd 2.82


5.
Material: Nd2Y2Br4NCl
Method: DFT, PBE-GGA
State: optimized geometry

Properties
mass density = 5.154 Mg/m³
space group = C2/m, No. 12

a b c (Å): 9.1837 9.1837 8.0621
angles (deg): 102.47 102.47 23.94
Last column: nearest neighbours and their distance in Å.
Fractional coordinates of all 10 atoms:
Nd1 0.0013 0.0013 0.2898  2 N 2.55
Nd2 0.9987 0.9987 0.7102  2 N 2.55
Y1 0.3659 0.3659 0.4302  1 N 2.35
Y2 0.6341 0.6341 0.5698  1 N 2.35
Br1 0.1669 0.1669 0.8418  2 Y 2.87, 1 Nd 2.97
Br2 0.1732 0.1732 0.3309  2 Y 2.90, 1 Nd 3.03
Br3 0.8268 0.8268 0.6691  2 Y 2.90, 1 Nd 3.03
Br4 0.8331 0.8331 0.1582  2 Y 2.87, 1 Nd 2.97
N1 0.5000 0.5000 0.5000  2 Y 2.35, 4 Nd 2.55
Cl1 0.5000 0.5000 0.0000  4 Nd 3.01


6.
Material: Pr2Br2NCl
Method: DFT, PBE-GGA
State: optimized geometry

Properties
mass density = 4.656 Mg/m³
space group = C2/m, No. 12

a b c (Å): 9.1320 9.1320 11.4992
angles (deg): 121.83 121.83 25.75
Last column: nearest neighbours and their distance in Å.
Fractional coordinates of all 12 atoms:
Pr1 0.0817 0.0817 0.4561  2 N 2.36
Pr2 0.3611 0.3611 0.2064  2 N 2.45
Pr3 0.6389 0.6389 0.7936  2 N 2.45
Pr4 0.9183 0.9183 0.5439  2 N 2.36
Br1 0.2736 0.2736 0.3752  3 Pr 3.02-3.08
Br2 0.4578 0.4578 0.7626  3 Pr 3.01-3.05
Br3 0.5422 0.5422 0.2374  3 Pr 3.01-3.05
Br4 0.7264 0.7264 0.6248  3 Pr 3.02-3.08
N1 0.0752 0.0752 0.6556  4 Pr 2.36-2.45
N2 0.9248 0.9248 0.3444  4 Pr 2.36-2.45
Cl1 0.1706 0.1706 0.0071  3 Pr 2.89-3.00
Cl2 0.8294 0.8294 0.9929  3 Pr 2.89-3.00


7.
Material: Pr2Sm2Br3NCl2
Method: DFT, PBE-GGA
State: optimized geometry

Properties
mass density = 5.386 Mg/m³
space group = C2/m, No. 12

a b c (Å): 9.1694 9.1694 8.3546
angles (deg): 103.83 103.83 24.24
Last column: nearest neighbours and their distance in Å.
Fractional coordinates of all 10 atoms:
Pr1 0.0003 0.0003 0.2045  2 N 2.57, 1 Cl 2.85
Pr2 0.9997 0.9997 0.7955  2 N 2.57, 1 Cl 2.85
Sm1 0.3612 0.3612 0.9241  1 N 2.41
Sm2 0.6388 0.6388 0.0759  1 N 2.41
Br1 0.1725 0.1725 0.8317  3 Sm 2.97-3.28, 1 Pr 3.04
Br2 0.5000 0.5000 0.5000  4 Pr 3.13
Br3 0.8275 0.8275 0.1683  3 Sm 2.97-3.28, 1 Pr 3.04
N1 0.5000 0.5000 0.0000  2 Sm 2.41, 4 Pr 2.57
Cl1 0.1634 0.1634 0.3262  2 Sm 2.80, 1 Pr 2.85
Cl2 0.8366 0.8366 0.6738  2 Sm 2.80, 1 Pr 2.85


8.
Material: Pr2Y2Br3NCl2
Method: DFT, PBE-GGA
State: optimized geometry

Properties
mass density = 4.691 Mg/m³
space group = C2/m, No. 12

a b c (Å): 9.0889 9.0889 8.3952
angles (deg): 102.85 102.85 24.27
Last column: nearest neighbours and their distance in Å.
Fractional coordinates of all 10 atoms:
Pr1 0.0006 0.0006 0.2041  2 N 2.56, 1 Cl 2.86
Pr2 0.9994 0.9994 0.7959  2 N 2.56, 1 Cl 2.86
Y1 0.3640 0.3640 0.9327  1 N 2.35
Y2 0.6360 0.6360 0.0673  1 N 2.35
Br1 0.1742 0.1742 0.8360  2 Y 2.91, 1 Pr 3.05
Br2 0.5000 0.5000 0.5000  4 Pr 3.14
Br3 0.8258 0.8258 0.1640  2 Y 2.91, 1 Pr 3.05
N1 0.5000 0.5000 0.0000  2 Y 2.35, 4 Pr 2.56
Cl1 0.1655 0.1655 0.3074  2 Y 2.74, 1 Pr 2.86
Cl2 0.8345 0.8345 0.6926  2 Y 2.74, 1 Pr 2.86


9.
Material: Sm4Br2NCl3
Method: DFT, PBE-GGA
State: optimized geometry

Properties
mass density = 5.683 Mg/m³
space group = C2/m, No. 12

a b c (Å): 9.0864 9.0864 7.9519
angles (deg): 104.12 104.12 23.90
Last column: nearest neighbours and their distance in Å.
Fractional coordinates of all 10 atoms:
Sm1 0.0003 0.0003 0.2102  2 N 2.52, 1 Cl 2.79
Sm2 0.9997 0.9997 0.7898  2 N 2.52, 1 Cl 2.79
Sm3 0.3601 0.3601 0.9186  1 N 2.41
Sm4 0.6399 0.6399 0.0814  1 N 2.41
Br1 0.1704 0.1704 0.8196  4 Sm 2.95-3.27
Br2 0.8296 0.8296 0.1804  4 Sm 2.95-3.27
N1 0.5000 0.5000 0.0000  6 Sm 2.41-2.52
Cl1 0.1609 0.1609 0.3468  3 Sm 2.78-2.79
Cl2 0.5000 0.5000 0.5000  4 Sm 2.98
Cl3 0.8391 0.8391 0.6532  3 Sm 2.78-2.79


10.
Material: Sm2BrNCl2
Method: DFT, PBE-GGA
State: optimized geometry

Properties
mass density = 4.931 Mg/m³
relative energy among the computed polymorphs = 0.009 eV/atom
space group = C2/m, No. 12

a b c (Å): 8.7331 8.7331 10.9460
angles (deg): 120.65 120.65 26.16
Last column: nearest neighbours and their distance in Å.
Fractional coordinates of all 12 atoms:
Sm1 0.0833 0.0833 0.4549  2 N 2.29-2.30
Sm2 0.3626 0.3626 0.2059  2 N 2.37
Sm3 0.6374 0.6374 0.7941  2 N 2.37
Sm4 0.9167 0.9167 0.5451  2 N 2.29-2.30
Br1 0.4533 0.4533 0.7689  3 Sm 2.95-3.00
Br2 0.5467 0.5467 0.2311  3 Sm 2.95-3.00
N1 0.0745 0.0745 0.6574  4 Sm 2.29-2.37
N2 0.9255 0.9255 0.3426  4 Sm 2.29-2.37
Cl1 0.1700 0.1700 0.0149  3 Sm 2.82-2.94
Cl2 0.2849 0.2849 0.3868  3 Sm 2.80-2.90
Cl3 0.7151 0.7151 0.6132  3 Sm 2.80-2.90
Cl4 0.8300 0.8300 0.9851  3 Sm 2.82-2.94


11.
Material: Sm4Br4N2Cl
Method: DFT, PBE-GGA
State: optimized geometry

Properties
mass density = 6.100 Mg/m³
space group = C2/m, No. 12

a b c (Å): 9.5454 9.5454 8.1047
angles (deg): 103.82 103.82 21.97
Last column: nearest neighbours and their distance in Å.
Fractional coordinates of all 11 atoms:
Sm1 0.9997 0.9997 0.2006  4 N 2.54
Sm2 0.0003 0.0003 0.7994  4 N 2.54
Sm3 0.3378 0.3378 0.9005  1 N 2.25
Sm4 0.6622 0.6622 0.0995  1 N 2.25
Br1 0.1586 0.1586 0.3814  3 Sm 2.93-2.98
Br2 0.1687 0.1687 0.8112  4 Sm 2.99-3.13
Br3 0.8313 0.8313 0.1888  4 Sm 2.99-3.13
Br4 0.8414 0.8414 0.6186  3 Sm 2.93-2.98
N1 0.4618 0.4618 0.9779  1 N 1.39
N2 0.5382 0.5382 0.0221  1 N 1.39
Cl1 0.5000 0.5000 0.5000  4 Sm 3.03


no.,total energy (eV per atom)
1,-5.5303
2,-5.3961
3,-5.6565
4,-5.6575
5,-5.5998
6,-5.7191
7,-5.3272
8,-5.6679
9,-5.3837
10,-5.8553
11,-5.5100